The following is a SCAN calculation of a crystal of Hf2AlIN relaxed with PBEsol, from Alexandria.

Cell: 3.544 5.212 5.212 Å, 90.00 90.00 90.00°
Atoms (fractional coordinates):
Al 0.000 0.000 0.000
N 0.500 0.000 0.000
Hf 0.000 0.000 0.500
Hf 0.000 0.500 0.000
I 0.500 0.500 0.500

Results
**Space group**: P4/mmm (123)
**E_form (uncorrected)**: 287 kJ/mol of formula units
**E**: -35.232 eV per atom